[1]
# GGA-PBE GdHoEr2, relaxed
# - energy of formation (eV/atom) = 0.023
# - ΔE to the lowest computed polymorph (meV per atom) = 0
data_GdHoEr2
_chemical_formula_sum 'Gd1 Ho1 Er2'
_cell_length_a 4.988
_cell_length_b 4.988
_cell_length_c 4.984
_cell_angle_alpha 90.00
_cell_angle_beta 90.00
_cell_angle_gamma 90.00
_space_group_name_H-M_alt 'P 4/m m m'
_space_group_IT_number 123
_space_group_name_Hall '-P 4 2'
loop_
_atom_site_label
_atom_site_type_symbol
_atom_site_fract_x
_atom_site_fract_y
_atom_site_fract_z
_atom_site_occupancy
Gd1 Gd 0.000 0.000 0.000 1
Ho1 Ho 0.500 0.500 0.000 1
Er1 Er 0.000 0.500 0.500 1

[2]
# GGA-PBE Gd2HoEr, relaxed
# - energy of formation (eV/atom) = 0.027
# - ΔE to the lowest computed polymorph (meV per atom) = 0
data_Gd2HoEr
_chemical_formula_sum 'Gd6 Ho3 Er3'
_cell_length_a 3.5457
_cell_length_b 3.5457
_cell_length_c 34.6872
_cell_angle_alpha 90.00
_cell_angle_beta 90.00
_cell_angle_gamma 120.00
_space_group_name_H-M_alt 'R -3 m'
_space_group_IT_number 166
_space_group_name_Hall '-R 3 2"'
loop_
_atom_site_label
_atom_site_type_symbol
_atom_site_fract_x
_atom_site_fract_y
_atom_site_fract_z
_atom_site_occupancy
Gd1 Gd 0.0000 0.0000 0.2502 1
Ho1 Ho 0.0000 0.0000 0.5000 1
Er1 Er 0.0000 0.0000 0.0000 1